[1]
VASP calculation (PBE) on Sm4C2Br3F2 after structural relaxation.

final energy	-5.974	eV per atom
symmetry	C2/m (12)

Unit cell a=9.5774 b=9.5774 c=7.8431 alpha=104.02 beta=104.02 gamma=22.92
Positions (direct):
Br  0.8314  0.8314  0.6656
Br  0.1686  0.1686  0.3344
Br  0.5000  0.5000  0.0000
C  0.5387  0.5387  0.5269
C  0.4613  0.4613  0.4731
F  0.8435  0.8435  0.2042
F  0.1565  0.1565  0.7958
Sm  0.0005  0.0005  0.2978
Sm  0.9995  0.9995  0.7022
Sm  0.3411  0.3411  0.3720
Sm  0.6589  0.6589  0.6280



[2]
VASP calculation (PBE) on Sm4CBr2F3 after structural relaxation.

final energy	-5.849	eV per atom
symmetry	C2/m (12)

Unit cell a=8.7403 b=8.7403 c=7.0812 alpha=100.99 beta=100.99 gamma=24.05
Positions (direct):
Sm  0.3541  0.3541  0.9194
Sm  0.0031  0.0031  0.2420
Sm  0.9969  0.9969  0.7580
Sm  0.6459  0.6459  0.0806
C  0.5000  0.5000  0.0000
Br  0.1718  0.1718  0.7688
Br  0.8282  0.8282  0.2312
F  0.5000  0.5000  0.5000
F  0.8537  0.8537  0.7036
F  0.1463  0.1463  0.2964



[3]
VASP calculation (PBE) on Tb2CBrF after structural relaxation.

final energy	-6.229	eV per atom
symmetry	P3m1 (156)

Unit cell a=3.6909 b=3.6909 c=8.2745 alpha=90.00 beta=90.00 gamma=120.00
Positions (direct):
Tb  0.0000  0.0000  0.6929
Tb  0.6667  0.3333  0.3632
C  0.3333  0.6667  0.5188
F  0.6667  0.3333  0.8079
Br  0.0000  0.0000  0.1173